1.
Here is a geometry-optimized YGaO2F structure from the Alexandria database. Energies are from GGA-PBE.

Summary:
* crystal system: tetragonal
* raw formation energy: -2052 meV/atom
* density of states at the Fermi level: 0.450 states/eV per atom

The structure in extended XYZ format:
```
5
Lattice="-2.6089 3.2245 1.3224 -3.4752 -2.2820 -1.2916 -0.2607 -1.8103 3.8998" Properties=species:S:1:pos:R:3 pbc="T T T"
Y 0.0000 0.0000 0.0000
O -1.7376 -1.1410 -0.6458
O -1.3044 1.6122 0.6612
Ga -3.1724 -0.4339 1.9653
F -0.1304 -0.9052 1.9499
```

---

2.
Here is a geometry-optimized ZnGaOF2 structure from the Alexandria database. Energies are from GGA-PBE.

Summary:
* crystal system: tetragonal
* relative energy among the computed polymorphs: 0.83 eV per formula unit
* raw formation energy: -1346 meV/atom
* density of states at the Fermi level: 0.625 states/eV per atom

The structure in extended XYZ format:
```
5
Lattice="3.9709 0.0000 0.0000 0.0000 3.9709 0.0000 0.0000 0.0000 4.1223" Properties=species:S:1:pos:R:3 pbc="T T T"
Zn 0.0000 0.0000 0.0000
O 0.0000 0.0000 2.0611
Ga 1.9854 1.9854 2.0611
F 0.0000 1.9854 0.0000
F 1.9854 0.0000 0.0000
```

---

3.
Here is a geometry-optimized ZnGaOF2 structure from the Alexandria database. Energies are from GGA-PBE.

Summary:
* crystal system: tetragonal
* relative energy among the computed polymorphs: 0.00 eV per formula unit
* raw formation energy: -1513 meV/atom
* density of states at the Fermi level: 0.560 states/eV per atom

The structure in extended XYZ format:
```
5
Lattice="4.0828 0.0000 0.0000 0.0000 4.0828 0.0000 0.0000 0.0000 3.6822" Properties=species:S:1:pos:R:3 pbc="T T T"
Zn 2.0414 2.0414 1.8411
O 0.0000 0.0000 1.8411
Ga 0.0000 0.0000 0.0000
F 0.0000 2.0414 0.0000
F 2.0414 0.0000 0.0000
```

---

4.
Here is a geometry-optimized ZrGa2OF structure from the Alexandria database. Energies are from GGA-PBE.

Summary:
* crystal system: tetragonal
* raw formation energy: -178 meV/atom
* density of states at the Fermi level: 0.913 states/eV per atom

The structure in extended XYZ format:
```
5
Lattice="5.4153 0.0000 0.0000 0.0000 4.1099 0.0000 0.0000 0.0000 5.4153" Properties=species:S:1:pos:R:3 pbc="T T T"
O 2.7077 2.0550 2.7077
Ga 0.0000 0.0000 2.7077
Ga 2.7077 0.0000 0.0000
Zr 0.0000 0.0000 0.0000
F 0.0000 2.0550 0.0000
```

---

5.
Here is a geometry-optimized GaOsF3 structure from the Alexandria database. Energies are from GGA-PBE.

Summary:
* crystal system: cubic
* relative energy among the computed polymorphs: 0.00 eV per formula unit
* raw formation energy: -686 meV/atom
* density of states at the Fermi level: 0.713 states/eV per atom

The structure in extended XYZ format:
```
5
Lattice="-3.0522 2.9344 0.2922 -2.6684 -2.9273 1.5240 1.2553 0.9123 3.9502" Properties=species:S:1:pos:R:3 pbc="T T T"
Os 0.0000 0.0000 0.0000
Ga -2.2327 0.4597 2.8832
F -1.3342 -1.4637 0.7620
F 0.6276 0.4562 1.9751
F -1.5261 1.4672 0.1461
```

---

6.
Here is a geometry-optimized GaOsF3 structure from the Alexandria database. Energies are from GGA-PBE.

Summary:
* crystal system: cubic
* relative energy among the computed polymorphs: 1.91 eV per formula unit
* raw formation energy: -303 meV/atom
* density of states at the Fermi level: 0.948 states/eV per atom

The structure in extended XYZ format:
```
5
Lattice="4.1985 0.0000 0.0000 0.0000 4.1985 0.0000 0.0000 0.0000 4.1985" Properties=species:S:1:pos:R:3 pbc="T T T"
Os 2.0993 2.0993 2.0993
Ga 0.0000 0.0000 0.0000
F 0.0000 2.0993 0.0000
F 0.0000 0.0000 2.0993
F 2.0993 0.0000 0.0000
```

---

| no. | total DFT energy (no corrections) (eV/atom) |
| --- | --- |
| 1 | -6.31 |
| 2 | -3.95 |
| 3 | -4.11 |
| 4 | -4.46 |
| 5 | -4.66 |
| 6 | -4.28 |